This record from Alexandria via LeMat-Bulk describes a relaxed structure of RbZn2Hg2. The functional is PBE.

Final energy, eV per atom: -0.78
D(E_F), states/eV/atom: 0.28
Magnetization, μB/cell: 0.00
DFT formation energy, eV per atom: 0.041

Cell and atoms, written as CIF:
```
data_RbZn2Hg2
_chemical_formula_sum 'Rb2 Zn4 Hg4'
_symmetry_space_group_name_H-M 'P 4/m b m'
_symmetry_Int_Tables_number 127
_symmetry_space_group_name_Hall '-P 4 2ab'
_cell_length_a 8.685
_cell_length_b 8.685
_cell_length_c 3.547
_cell_angle_alpha 90.00
_cell_angle_beta 90.00
_cell_angle_gamma 90.00
loop_
_atom_site_label
_atom_site_fract_x
_atom_site_fract_y
_atom_site_fract_z
Rb1 0.000 0.000 0.000
Zn1 0.109 0.391 0.000
Hg1 0.177 0.677 0.500
```